1) Below is AlBRh2 after structural relaxation, with properties calculated at the PBE-GGA level.

Output
Volume in Å³/atom: 13.1
Magnetic moment in Bohr magnetons per cell: 0.00

abc: 6.368 6.368 5.194
angles: 52.19 52.19 90.00
Sites, in units of the cell vectors:
Rh1 0.209 0.625 0.250
B1 0.250 0.750 0.500
Al1 0.000 0.000 0.000
Rh2 0.875 0.791 0.750
Al2 0.750 0.250 0.500
Rh3 0.541 0.125 0.250
B2 0.500 0.500 0.000
Rh4 0.375 0.459 0.750

---

2) Below is AlBRh2 after structural relaxation, with properties calculated at the PBE-GGA level.

Output
Volume in Å³/atom: 11.8
Magnetic moment in Bohr magnetons per cell: 0.00

abc: 4.058 4.058 4.058
angles: 60.00 60.00 60.00
Sites, in units of the cell vectors:
Rh1 0.250 0.250 0.250
B1 0.000 0.000 0.000
Al1 0.500 0.500 0.500
Rh2 0.750 0.750 0.750

---

3) Below is AlBRh2 after structural relaxation, with properties calculated at the PBE-GGA level.

Output
Volume in Å³/atom: 11.8
Magnetic moment in Bohr magnetons per cell: 0.00

abc: 2.929 4.012 4.012
angles: 90.00 90.00 90.00
Sites, in units of the cell vectors:
B1 0.500 0.000 0.000
Rh1 0.000 0.000 0.500
Al1 0.500 0.500 0.500
Rh2 0.000 0.500 0.000

---

4) Below is AlBRh2 after structural relaxation, with properties calculated at the PBE-GGA level.

Output
Volume in Å³/atom: 11.8
Magnetic moment in Bohr magnetons per cell: 0.00

abc: 2.759 2.759 6.206
angles: 90.00 90.00 90.00
Sites, in units of the cell vectors:
Rh1 0.000 0.000 0.787
B1 0.500 0.500 0.000
Rh2 0.000 0.000 0.213
Al1 0.500 0.500 0.500

---

Order of stability, best first: 4), 1), 3), 2)

---

1) Below is Al3BRh after structural relaxation, with properties calculated at the PBE-GGA level.

Output
Volume in Å³/atom: 20.0
Magnetic moment in Bohr magnetons per cell: 0.00

abc: 4.645 4.645 4.645
angles: 90.00 90.00 90.00
Sites, in units of the cell vectors:
Rh1 0.000 0.000 0.000
Al1 0.000 0.000 0.500
Al2 0.000 0.500 0.000
Al3 0.500 0.000 0.000
B1 0.500 0.500 0.500

---

2) Below is Al3BRh after structural relaxation, with properties calculated at the PBE-GGA level.

Output
Volume in Å³/atom: 13.8
Magnetic moment in Bohr magnetons per cell: 0.00

abc: 4.097 4.097 4.097
angles: 90.00 90.00 90.00
Sites, in units of the cell vectors:
Rh1 0.500 0.500 0.500
B1 0.000 0.000 0.000
Al1 0.000 0.000 0.500
Al2 0.000 0.500 0.000
Al3 0.500 0.000 0.000

---

Order of stability, best first: 2), 1)